A geometry-optimized Li2V3O4F4 structure. Source: Alexandria, functional PBE with a Hubbard U.

POSCAR file:
```
Li2V3O4F4
1.0
3.058 0.000 0.000
0.000 5.002 -0.001
0.000 -0.333 9.779
Li V O F
2 3 4 4
direct
0.000 0.936 0.459
0.500 0.033 0.859
0.000 0.969 0.142
0.000 0.533 0.631
0.500 0.471 0.354
0.500 0.711 0.525
0.000 0.691 0.288
0.000 0.309 0.459
0.500 0.186 0.231
0.000 0.828 0.763
0.500 0.769 0.051
0.500 0.335 0.720
0.000 0.168 0.976
```

Output
DFT total energy in eV per formula unit: -85.4